Compound: ReIr2Os
Source: Alexandria
Functional: PBE
Structure: relaxed

Calculated values
DFT formation energy = -58.2 meV/atom
calculated volume = 14.5 Å³ per atom
magnetic moment = 0.0 μB per cell
calculated density = 21.8 Mg/m³

Geometry as CIF:
```
data_ReIr2Os
_space_group_name_H-M_alt 'P m m m'
_space_group_IT_number 47
_cell_length_a 2.724
_cell_length_b 3.919
_cell_length_c 5.436
_cell_angle_alpha 90.00
_cell_angle_beta 90.00
_cell_angle_gamma 90.00
loop_
_space_group_symop_operation_xyz
'x,y,z'
'-x,-y,-z'
'-x,-y,z'
'x,y,-z'
'x,-y,-z'
'-x,y,z'
'-x,y,-z'
'x,-y,z'
loop_
_atom_site_label
_atom_site_fract_x
_atom_site_fract_y
_atom_site_fract_z
_atom_site_occupancy
Re1 0.000 0.000 0.000 1
Ir1 0.500 0.500 0.251 1
Os1 0.000 0.000 0.500 1
```